Record 1
The following is a DFT calculation (PBE) of an optimized crystal structure of LiTaO4.

```
data_LiTaO4
_space_group_name_H-M_alt 'P 1 2/c 1'
_space_group_IT_number 13
_space_group_name_Hall '-P 2yc'
_cell_length_a 4.5749
_cell_length_b 5.7887
_cell_length_c 5.0543
_cell_angle_alpha 90.00
_cell_angle_beta 90.56
_cell_angle_gamma 90.00
loop_
_atom_site_label
_atom_site_type_symbol
_atom_site_fract_x
_atom_site_fract_y
_atom_site_fract_z
Li1 Li 0.0000 0.1510 0.2500
Ta1 Ta 0.5000 0.3311 0.7500
O1 O 0.1982 0.1383 0.6215
O2 O 0.2985 0.3726 0.0996
```

***

Record 2
The following is a DFT calculation (PBE) of an optimized crystal structure of LiTaO4.

```
data_LiTaO4
_space_group_name_H-M_alt 'P 1'
_space_group_IT_number 1
_space_group_name_Hall 'P 1'
_cell_length_a 3.0879
_cell_length_b 4.6239
_cell_length_c 4.6260
_cell_angle_alpha 89.99
_cell_angle_beta 89.90
_cell_angle_gamma 89.94
loop_
_atom_site_label
_atom_site_type_symbol
_atom_site_fract_x
_atom_site_fract_y
_atom_site_fract_z
Li1 Li 0.0000 0.0000 0.0000
Ta1 Ta 0.5324 0.4991 0.5013
O1 O 0.0232 0.6980 0.6973
O2 O 0.0246 0.3019 0.3027
O3 O 0.5011 0.7944 0.2042
O4 O 0.5024 0.2045 0.7959
```

***

Number 1: ΔE to the lowest computed polymorph 0.000 eV/atom, calculated density 6.25 g/cm3. Number 2: ΔE to the lowest computed polymorph 0.060 eV/atom, calculated density 6.33 g/cm3.